No. 1
Crystalline Nb2CoReH at its relaxed geometry, computed with PBE.

The structure in POSCAR format:
```
Nb2CoReH
1.0
4.3648 0.0000 0.0000
0.0000 4.3648 0.0000
0.0000 0.0000 3.3687
Nb Co Re H
2 1 1 1
Direct
0.0000 0.5000 0.0000 Nb
0.5000 0.0000 0.0000 Nb
0.0000 0.0000 0.5000 Co
0.5000 0.5000 0.5000 Re
0.0000 0.0000 0.0000 H
```

* offset from the most stable computed form: 0.000 eV per atom

***

No. 2
Crystalline NbAsOsSe2 at its relaxed geometry, computed with PBE.

The structure in POSCAR format:
```
NbAsOsSe2
1.0
4.9988 0.0000 0.0000
0.0000 4.9988 0.0000
0.0000 0.0000 4.5725
Nb As Os Se
1 1 1 2
Direct
0.0000 0.0000 0.0000 Nb
0.5000 0.5000 0.0000 As
0.5000 0.5000 0.5000 Os
0.0000 0.5000 0.5000 Se
0.5000 0.0000 0.5000 Se
```

* offset from the most stable computed form: 0.000 eV per atom
* formation energy (no corrections): 0.930 eV per atom

***

No. 3
Crystalline Sm4ThS7 at its relaxed geometry, computed with PBE.

The structure in POSCAR format:
```
Sm4ThS7
1.0
6.6304 -1.9589 0.0000
6.6304 1.9589 0.0000
-3.0009 0.0000 11.4355
Sm Th S
4 1 7
Direct
0.0000 0.0000 0.0000 Sm
0.1868 0.1868 0.7640 Sm
0.5909 0.5909 0.4001 Sm
0.8872 0.8872 0.5817 Sm
0.7750 0.7750 0.1585 Th
0.1469 0.1469 0.2308 S
0.2299 0.2299 0.5300 S
0.3891 0.3891 0.0795 S
0.5463 0.5463 0.6312 S
0.6309 0.6309 0.9320 S
0.8433 0.8433 0.7962 S
0.9317 0.9317 0.3643 S
```

* formation energy (no corrections): -2.007 eV per atom

***

no.,electronic total energy (eV/atom)
1,-8.743
2,-5.654
3,-6.606